(1)
Material: Li3GeRh
Method: DFT, PBE
State: relaxed

Properties
DFT formation energy (eV per atom): 0.389
Offset from the most stable computed form (kJ per mole of atoms): 69.53
Magnetic moment (Bohr magnetons per cell): 0.00
Total energy (eV per atom): -3.1533

```
data_Li3GeRh
_space_group_name_H-M_alt 'P m -3 m'
_space_group_IT_number 221
_space_group_name_Hall '-P 4 2 3'
_cell_length_a 4.5128
_cell_length_b 4.5128
_cell_length_c 4.5128
_cell_angle_alpha 90.00
_cell_angle_beta 90.00
_cell_angle_gamma 90.00
loop_
_atom_site_label
_atom_site_fract_x
_atom_site_fract_y
_atom_site_fract_z
_atom_site_occupancy
Li1 0.0000 0.0000 0.5000 1
Ge1 0.5000 0.5000 0.5000 1
Rh1 0.0000 0.0000 0.0000 1
```

=====

(2)
Material: LiGeRh2
Method: DFT, PBE
State: relaxed

Properties
DFT formation energy (eV per atom): -0.548
Magnetic moment (Bohr magnetons per cell): 0.00
Total energy (eV per atom): -5.8569

```
data_LiGeRh2
_space_group_name_H-M_alt 'P 4/m m m'
_space_group_IT_number 123
_space_group_name_Hall '-P 4 2'
_cell_length_a 4.1813
_cell_length_b 4.1813
_cell_length_c 2.9972
_cell_angle_alpha 90.00
_cell_angle_beta 90.00
_cell_angle_gamma 90.00
loop_
_atom_site_label
_atom_site_fract_x
_atom_site_fract_y
_atom_site_fract_z
_atom_site_occupancy
Li1 0.0000 0.0000 0.0000 1
Ge1 0.5000 0.5000 0.0000 1
Rh1 0.0000 0.5000 0.5000 1
```

=====

(3)
Material: LiGe3Rh
Method: DFT, PBE
State: relaxed

Properties
DFT formation energy (eV per atom): -0.208
Offset from the most stable computed form (kJ per mole of atoms): 0.00
Magnetic moment (Bohr magnetons per cell): 0.00
Total energy (eV per atom): -4.8310

```
data_LiGe3Rh
_space_group_name_H-M_alt 'P 63/m m c'
_space_group_IT_number 194
_space_group_name_Hall '-P 6c 2c'
_cell_length_a 4.2808
_cell_length_b 4.2808
_cell_length_c 10.8274
_cell_angle_alpha 90.00
_cell_angle_beta 90.00
_cell_angle_gamma 120.00
loop_
_atom_site_label
_atom_site_fract_x
_atom_site_fract_y
_atom_site_fract_z
_atom_site_occupancy
Li1 0.0000 0.0000 0.0000 1
Ge1 0.3333 0.6667 0.1168 1
Ge2 0.3333 0.6667 0.7500 1
Rh1 0.0000 0.0000 0.2500 1
```

=====

(4)
Material: LiGe2Rh
Method: DFT, PBE
State: relaxed

Properties
DFT formation energy (eV per atom): -0.285
Offset from the most stable computed form (kJ per mole of atoms): 10.02
Magnetic moment (Bohr magnetons per cell): 0.00
Total energy (eV per atom): -4.9098

```
data_LiGe2Rh
_space_group_name_H-M_alt 'R -3 m'
_space_group_IT_number 166
_space_group_name_Hall '-R 3 2"'
_cell_length_a 2.9793
_cell_length_b 2.9793
_cell_length_c 24.9008
_cell_angle_alpha 90.00
_cell_angle_beta 90.00
_cell_angle_gamma 120.00
loop_
_atom_site_label
_atom_site_fract_x
_atom_site_fract_y
_atom_site_fract_z
_atom_site_occupancy
Li1 0.0000 0.0000 0.0000 1
Ge1 0.0000 0.0000 0.2447 1
Rh1 0.0000 0.0000 0.5000 1
```

=====

(5)
Material: Li2Ge2Rh
Method: DFT, PBE
State: relaxed

Properties
DFT formation energy (eV per atom): -0.382
Offset from the most stable computed form (kJ per mole of atoms): 3.36
Magnetic moment (Bohr magnetons per cell): 0.00
Total energy (eV per atom): -4.4648

```
data_Li2Ge2Rh
_space_group_name_H-M_alt 'C 1 2/m 1'
_space_group_IT_number 12
_cell_length_a 9.9108
_cell_length_b 4.1999
_cell_length_c 9.6452
_cell_angle_alpha 90.00
_cell_angle_beta 118.94
_cell_angle_gamma 90.00
loop_
_space_group_symop_operation_xyz
'x,y,z'
'-x,-y,-z'
'-x,y,-z'
'x,-y,z'
'x+1/2,y+1/2,z'
'-x+1/2,-y+1/2,-z'
'-x+1/2,y+1/2,-z'
'x+1/2,-y+1/2,z'
loop_
_atom_site_label
_atom_site_fract_x
_atom_site_fract_y
_atom_site_fract_z
_atom_site_occupancy
Li1 0.0088 0.0000 0.1760 1
Li2 0.1806 0.0000 0.6027 1
Ge1 0.0105 0.5000 0.3784 1
Ge2 0.1480 0.5000 0.0852 1
Rh1 0.2204 0.5000 0.8740 1
```

=====

(6)
Material: Li3GeRh
Method: DFT, PBE
State: relaxed

Properties
DFT formation energy (eV per atom): 0.556
Offset from the most stable computed form (kJ per mole of atoms): 85.65
Magnetic moment (Bohr magnetons per cell): 0.00
Total energy (eV per atom): -2.9862

```
data_Li3GeRh
_space_group_name_H-M_alt 'P m -3 m'
_space_group_IT_number 221
_space_group_name_Hall '-P 4 2 3'
_cell_length_a 4.5069
_cell_length_b 4.5069
_cell_length_c 4.5069
_cell_angle_alpha 90.00
_cell_angle_beta 90.00
_cell_angle_gamma 90.00
loop_
_atom_site_label
_atom_site_fract_x
_atom_site_fract_y
_atom_site_fract_z
_atom_site_occupancy
Li1 0.0000 0.0000 0.5000 1
Ge1 0.0000 0.0000 0.0000 1
Rh1 0.5000 0.5000 0.5000 1
```